Record 1
First-principles (GGA-PBE) data for an optimized crystal structure of ZrSi2Au, as listed in Alexandria.

**Crystal system**: orthorhombic
**Final energy**: -6.053 eV per atom
**Theoretical density**: 8.4 g cm⁻³
**Symmetry**: Imm2

a = 5.4644 Å, b = 5.4644 Å, c = 5.4644 Å
α = 139.64°, β = 139.49°, γ = 58.51°
With the nearest neighbours (Å) after each atom.
Atoms (fractional coordinates):
Si 0.7517 0.2517 0.5000  4 Au 2.67, 2 Si 2.87, 2 Zr 2.93
Zr 0.4861 0.4861 0.0000  6 Si 2.70-2.93
Au 0.2369 0.7369 0.5000  6 Si 2.67-2.76
Si 0.0252 0.0252 0.0000  4 Zr 2.70, 2 Au 2.76, 2 Si 2.87

---

Record 2
First-principles (GGA-PBE) data for an optimized crystal structure of Zr2SiAu, as listed in Alexandria.

**Crystal system**: trigonal
**Final energy**: -6.511 eV per atom
**Theoretical density**: 8.2 g cm⁻³
**Symmetry**: R3m

a = 8.6557 Å, b = 8.6557 Å, c = 8.6557 Å
α = 22.40°, β = 22.40°, γ = 22.40°
With the nearest neighbours (Å) after each atom.
Atoms (fractional coordinates):
Au 0.4903 0.4903 0.4903  3 Si 2.58
Zr 0.2450 0.2450 0.2450  3 Au 2.95, 3 Zr 3.12
Si 0.7565 0.7565 0.7565  3 Au 2.58, 3 Zr 2.83
Zr 0.0082 0.0082 0.0082  3 Si 2.83, 3 Zr 3.12

---

Record 3
First-principles (GGA-PBE) data for an optimized crystal structure of Zr2SiAu, as listed in Alexandria.

**Crystal system**: tetragonal
**Final energy**: -6.988 eV per atom
**Theoretical density**: 9.1 g cm⁻³
**Symmetry**: P4/mmm

a = 3.0468 Å, b = 3.0468 Å, c = 8.0221 Å
α = 90.00°, β = 90.00°, γ = 90.00°
With the nearest neighbours (Å) after each atom.
Atoms (fractional coordinates):
Zr 0.0000 0.0000 0.9829  4 Si 2.85, 4 Au 3.04, 4 Zr 3.05
Au 0.5000 0.5000 0.2500  8 Zr 3.04, 4 Au 3.05
Si 0.5000 0.5000 0.7500  8 Zr 2.85, 4 Si 3.05
Zr 0.0000 0.0000 0.5171  4 Si 2.85, 4 Au 3.04, 4 Zr 3.05

---

Record 4
First-principles (GGA-PBE) data for an optimized crystal structure of Zr2SiAu, as listed in Alexandria.

**Crystal system**: orthorhombic
**Final energy**: -6.665 eV per atom
**Theoretical density**: 8.6 g cm⁻³
**Symmetry**: Cmm2

a = 3.2090 Å, b = 3.2090 Å, c = 7.7495 Å
α = 90.00°, β = 90.00°, γ = 99.82°
With the nearest neighbours (Å) after each atom.
Atoms (fractional coordinates):
Si 0.5000 0.5000 0.7347  2 Au 2.60, 2 Zr 2.73
Au 0.0000 0.0000 0.5320  2 Si 2.60
Zr 0.0000 0.0000 0.9654  4 Si 2.73-3.04
Zr 0.5000 0.5000 0.2679  4 Au 2.91-3.20, 6 Zr 3.12-3.21